Tc6IrPt | PBE | relaxed Values from VASP.

The structure in Quantum ESPRESSO input format:
```
&SYSTEM
  ibrav = 0, nat = 8, ntyp = 3
/
ATOMIC_SPECIES
Ir 192.22 Ir.upf
Pt 195.08 Pt.upf
Tc 98.00 Tc.upf
ATOMIC_POSITIONS crystal
Ir 0.000 0.000 0.000
Pt 0.333 0.667 0.500
Tc 0.507 0.015 0.000
Tc 0.507 0.493 0.000
Tc 0.985 0.493 0.000
Tc 0.348 0.174 0.500
Tc 0.826 0.174 0.500
Tc 0.826 0.652 0.500
CELL_PARAMETERS angstrom
5.539 0.000 0.000
-2.770 4.797 0.000
0.000 0.000 4.379
```

Output
Calculated formation energy   -247 meV/atom
Size of the total moment   0.004 μB/f.u.
SG   P-6m2